[1]
VASP calculation (PBE-GGA) on Pu2Ga3SiNi4 after structural relaxation.

abc: 4.119 4.119 9.579
angles: 90.00 90.00 90.00
Space group P-4m2 (No. 115)
Asymmetric unit:
Pu: 0.000 0.500 0.250 x2
Ga: 0.000 0.000 0.000 x1
Ga: 0.000 0.500 0.628 x2
Si: 0.500 0.500 0.000 x1
Ni: 0.000 0.000 0.500 x1
Ni: 0.000 0.500 0.877 x2
Ni: 0.500 0.500 0.500 x1

Computed properties:
Uncorrected energy ... -7.0539 eV/atom
Formation energy from raw total energies ... -410 kJ/mol of formula units

=====

[2]
VASP calculation (PBE-GGA) on Sn3AsS after structural relaxation.

abc: 5.324 5.324 5.324
angles: 90.00 90.00 90.00
Space group Pm-3m (No. 221)
Asymmetric unit:
Sn: 0.000 0.000 0.500 x3
As: 0.500 0.500 0.500 x1
S: 0.000 0.000 0.000 x1

Computed properties:
Distance to the lowest polymorph of the same formula ... 0 meV/atom
Uncorrected energy ... -3.7888 eV/atom
Formation energy from raw total energies ... 178 kJ/mol of formula units